Here is BaPaMo2O8 after structural relaxation from Alexandria via LeMat-Bulk. Energies are from GGA+U.

Calculated values
magnetic moment = 3.0 μB per cell
crystal system = trigonal
DFT total energy = -92.6 eV/cell

abc: 6.034 6.034 7.543
angles: 90.00 90.00 120.00
Fractional coordinates of all 12 atoms:
Ba1 0.000 0.000 0.000
Pa1 0.000 0.000 0.500
Mo1 0.333 0.667 0.226
Mo2 0.667 0.333 0.774
O1 0.160 0.319 0.314
O2 0.160 0.840 0.314
O3 0.319 0.160 0.686
O4 0.333 0.667 0.987
O5 0.667 0.333 0.013
O6 0.681 0.840 0.314
O7 0.840 0.160 0.686
O8 0.840 0.681 0.686